{"formula": "Gd2Mn3Sb3O14", "functional": "PBE with a Hubbard U", "state": "optimized geometry", "lattice_angstrom": [[7.227, 0.014, 0.006], [3.413, 6.370, 0.006], [3.469, 2.081, 5.959]], "species": ["Gd", "Gd", "Mn", "Mn", "Mn", "Sb", "Sb", "Sb", "O", "O", "O", "O", "O", "O", "O", "O", "O", "O", "O", "O", "O", "O"], "fractional_positions": [[0.000, 0.500, 0.500], [0.500, 0.000, 0.500], [0.000, 0.000, 0.500], [0.000, 0.000, 0.000], [0.500, 0.500, 0.000], [0.500, 0.000, 0.000], [0.000, 0.500, 0.000], [0.500, 0.500, 0.500], [0.117, 0.117, 0.630], [0.883, 0.883, 0.370], [0.829, 0.829, 0.926], [0.418, 0.418, 0.332], [0.429, 0.826, 0.915], [0.827, 0.423, 0.330], [0.826, 0.429, 0.915], [0.423, 0.827, 0.330], [0.171, 0.171, 0.074], [0.582, 0.582, 0.668], [0.571, 0.174, 0.085], [0.173, 0.577, 0.670], [0.174, 0.571, 0.085], [0.577, 0.173, 0.670]], "vol_a3_per_atom": 12.449, "dft_energy_ry_per_atom": -0.5873}